VASP calculation (PBE) on a relaxed LiCaAs2O crystal. Values from VASP.

Summary:
**Raw formation energy**: -0.706 eV per atom
**Space group**: P4/mmm (123)

Structure (Quantum ESPRESSO input):
```
&SYSTEM
  ibrav = 0, nat = 5, ntyp = 4
/
ATOMIC_SPECIES
Li 6.94 Li.upf
Ca 40.08 Ca.upf
As 74.92 As.upf
O 16.00 O.upf
CELL_PARAMETERS angstrom
4.585 0.000 0.000
0.000 4.585 0.000
0.000 0.000 4.428
ATOMIC_POSITIONS crystal
Li 0.000 0.000 0.000
Ca 0.500 0.500 0.000
As 0.000 0.500 0.500
As 0.500 0.000 0.500
O 0.500 0.500 0.500
```

***

VASP calculation (PBE) on a relaxed MgNpSnO6 crystal. Values from VASP.

Summary:
**Raw formation energy**: -2.247 eV per atom
**Space group**: P-31c (163)

Structure (Quantum ESPRESSO input):
```
&SYSTEM
  ibrav = 0, nat = 18, ntyp = 4
/
ATOMIC_SPECIES
Mg 24.30 Mg.upf
Np 237.00 Np.upf
Sn 118.71 Sn.upf
O 16.00 O.upf
CELL_PARAMETERS angstrom
5.403 0.000 0.000
-2.702 4.679 0.000
0.000 0.000 9.223
ATOMIC_POSITIONS crystal
Mg 0.000 0.000 0.000
Mg 0.000 0.000 0.500
Np 0.333 0.667 0.250
Np 0.667 0.333 0.750
Sn 0.333 0.667 0.750
Sn 0.667 0.333 0.250
O 0.002 0.341 0.130
O 0.002 0.661 0.370
O 0.339 0.341 0.370
O 0.339 0.998 0.130
O 0.341 0.002 0.630
O 0.341 0.339 0.870
O 0.659 0.661 0.130
O 0.659 0.998 0.370
O 0.661 0.002 0.870
O 0.661 0.659 0.630
O 0.998 0.339 0.630
O 0.998 0.659 0.870
```

***

VASP calculation (PBE) on a relaxed Tb3Ga4Cu4 crystal. Values from VASP.

Summary:
**Energy of formation from the pure elements**: -0.45 eV per atom
**Space group**: Immm (71)

Structure (Quantum ESPRESSO input):
```
&SYSTEM
  ibrav = 0, nat = 11, ntyp = 3
/
ATOMIC_SPECIES
Tb 158.93 Tb.upf
Ga 69.72 Ga.upf
Cu 63.55 Cu.upf
CELL_PARAMETERS angstrom
-2.127 3.406 6.981
2.127 -3.406 6.981
2.127 3.406 -6.981
ATOMIC_POSITIONS crystal
Tb 0.000 0.000 0.000
Tb 0.369 0.869 0.500
Tb 0.631 0.131 0.500
Ga 0.218 0.218 0.000
Ga 0.313 0.500 0.813
Ga 0.687 0.500 0.187
Ga 0.782 0.782 0.000
Cu 0.016 0.329 0.687
Cu 0.357 0.671 0.687
Cu 0.643 0.329 0.313
Cu 0.984 0.671 0.313
```

***

VASP calculation (PBE) on a relaxed Ca4NiTe crystal. Values from VASP.

Summary:
**Raw formation energy**: 0.344 eV per atom
**Space group**: F-43m (216)

Structure (Quantum ESPRESSO input):
```
&SYSTEM
  ibrav = 0, nat = 6, ntyp = 3
/
ATOMIC_SPECIES
Ca 40.08 Ca.upf
Ni 58.69 Ni.upf
Te 127.60 Te.upf
CELL_PARAMETERS angstrom
0.000 4.608 4.608
4.608 0.000 4.608
4.608 4.608 0.000
ATOMIC_POSITIONS crystal
Ca 0.125 0.125 0.125
Ca 0.125 0.125 0.625
Ca 0.125 0.625 0.125
Ca 0.625 0.125 0.125
Ni 0.750 0.750 0.750
Te 0.500 0.500 0.500
```

***

VASP calculation (PBE) on a relaxed AcCe3Ni3 crystal. Values from VASP.

Summary:
**Energy of formation from the pure elements**: 0.13 eV per atom
**Space group**: Pm-3n (223)

Structure (Quantum ESPRESSO input):
```
&SYSTEM
  ibrav = 0, nat = 14, ntyp = 3
/
ATOMIC_SPECIES
Ac 227.00 Ac.upf
Ce 140.12 Ce.upf
Ni 58.69 Ni.upf
CELL_PARAMETERS angstrom
7.285 0.000 0.000
0.000 7.285 0.000
0.000 0.000 7.285
ATOMIC_POSITIONS crystal
Ac 0.000 0.000 0.000
Ac 0.500 0.500 0.500
Ce 0.000 0.250 0.500
Ce 0.000 0.750 0.500
Ce 0.250 0.500 0.000
Ce 0.500 0.000 0.250
Ce 0.500 0.000 0.750
Ce 0.750 0.500 0.000
Ni 0.000 0.500 0.250
Ni 0.000 0.500 0.750
Ni 0.250 0.000 0.500
Ni 0.500 0.250 0.000
Ni 0.500 0.750 0.000
Ni 0.750 0.000 0.500
```

***

VASP calculation (PBE) on a relaxed Sm9Tl3O2 crystal. Values from VASP.

Summary:
**Raw formation energy**: -0.988 eV per atom
**Space group**: P-3m1 (164)

Structure (Quantum ESPRESSO input):
```
&SYSTEM
  ibrav = 0, nat = 14, ntyp = 3
/
ATOMIC_SPECIES
Sm 150.36 Sm.upf
Tl 204.38 Tl.upf
O 16.00 O.upf
CELL_PARAMETERS angstrom
7.000 0.000 0.000
-3.500 6.062 0.000
0.000 0.000 8.584
ATOMIC_POSITIONS crystal
Sm 0.000 0.500 0.000
Sm 0.169 0.338 0.669
Sm 0.169 0.831 0.669
Sm 0.338 0.169 0.331
Sm 0.500 0.000 0.000
Sm 0.500 0.500 0.000
Sm 0.662 0.831 0.669
Sm 0.831 0.169 0.331
Sm 0.831 0.662 0.331
Tl 0.000 0.000 0.000
Tl 0.333 0.667 0.333
Tl 0.667 0.333 0.667
O 0.333 0.667 0.841
O 0.667 0.333 0.159
```

***

VASP calculation (PBE) on a relaxed PmNi3P3 crystal. Values from VASP.

Summary:
**Energy of formation from the pure elements**: -0.64 eV per atom
**E above lowest polymorph**: 71 meV per atom
**Space group**: Pm-3n (223)

Structure (Quantum ESPRESSO input):
```
&SYSTEM
  ibrav = 0, nat = 14, ntyp = 3
/
ATOMIC_SPECIES
Pm 145.00 Pm.upf
Ni 58.69 Ni.upf
P 30.97 P.upf
CELL_PARAMETERS angstrom
6.132 0.000 0.000
0.000 6.132 0.000
0.000 0.000 6.132
ATOMIC_POSITIONS crystal
Pm 0.000 0.000 0.000
Pm 0.500 0.500 0.500
Ni 0.000 0.250 0.500
Ni 0.000 0.750 0.500
Ni 0.250 0.500 0.000
Ni 0.500 0.000 0.250
Ni 0.500 0.000 0.750
Ni 0.750 0.500 0.000
P 0.000 0.500 0.250
P 0.000 0.500 0.750
P 0.250 0.000 0.500
P 0.500 0.250 0.000
P 0.500 0.750 0.000
P 0.750 0.000 0.500
```

***

VASP calculation (PBE) on a relaxed SmCuAgHg crystal. Values from VASP.

Summary:
**Energy of formation from the pure elements**: -0.19 eV per atom
**Space group**: F-43m (216)

Structure (Quantum ESPRESSO input):
```
&SYSTEM
  ibrav = 0, nat = 4, ntyp = 4
/
ATOMIC_SPECIES
Sm 150.36 Sm.upf
Cu 63.55 Cu.upf
Ag 107.87 Ag.upf
Hg 200.59 Hg.upf
CELL_PARAMETERS angstrom
0.000 3.466 3.466
3.466 0.000 3.466
3.466 3.466 0.000
ATOMIC_POSITIONS crystal
Sm 0.000 0.000 0.000
Cu 0.250 0.250 0.250
Ag 0.750 0.750 0.750
Hg 0.500 0.500 0.500
```

***

VASP calculation (PBE) on a relaxed LaY3S4 crystal. Values from VASP.

Summary:
**Raw formation energy**: -2.031 eV per atom
**E above lowest polymorph**: 0 meV per atom
**Space group**: Cmmm (65)

Structure (Quantum ESPRESSO input):
```
&SYSTEM
  ibrav = 0, nat = 8, ntyp = 3
/
ATOMIC_SPECIES
La 138.91 La.upf
Y 88.91 Y.upf
S 32.06 S.upf
CELL_PARAMETERS angstrom
4.014 -5.633 0.000
4.014 5.633 0.000
0.000 0.000 3.942
ATOMIC_POSITIONS crystal
La 0.000 0.000 0.000
Y 0.000 0.500 0.500
Y 0.500 0.000 0.500
Y 0.500 0.500 0.000
S 0.256 0.744 0.000
S 0.263 0.263 0.500
S 0.737 0.737 0.500
S 0.744 0.256 0.000
```

***

VASP calculation (PBE) on a relaxed Sr2TaRh crystal. Values from VASP.

Summary:
**Energy of formation from the pure elements**: 0.92 eV per atom
**E above lowest polymorph**: 819 meV per atom
**Space group**: Fm-3m (225)

Structure (Quantum ESPRESSO input):
```
&SYSTEM
  ibrav = 0, nat = 4, ntyp = 3
/
ATOMIC_SPECIES
Sr 87.62 Sr.upf
Ta 180.95 Ta.upf
Rh 102.91 Rh.upf
CELL_PARAMETERS angstrom
0.000 3.793 3.793
3.793 0.000 3.793
3.793 3.793 0.000
ATOMIC_POSITIONS crystal
Sr 0.250 0.250 0.250
Sr 0.750 0.750 0.750
Ta 0.000 0.000 0.000
Rh 0.500 0.500 0.500
```

***

VASP calculation (PBE) on a relaxed Nd6Dy6Ho crystal. Values from VASP.

Summary:
**Energy of formation from the pure elements**: 0.28 eV per atom
**Space group**: P6/mmm (191)

Structure (Quantum ESPRESSO input):
```
&SYSTEM
  ibrav = 0, nat = 13, ntyp = 3
/
ATOMIC_SPECIES
Nd 144.24 Nd.upf
Dy 162.50 Dy.upf
Ho 164.93 Ho.upf
CELL_PARAMETERS angstrom
6.742 0.000 0.000
-3.371 5.839 0.000
0.000 0.000 11.415
ATOMIC_POSITIONS crystal
Nd 0.000 0.000 0.156
Nd 0.000 0.000 0.844
Nd 0.333 0.667 0.000
Nd 0.333 0.667 0.500
Nd 0.667 0.333 0.000
Nd 0.667 0.333 0.500
Dy 0.000 0.500 0.253
Dy 0.000 0.500 0.747
Dy 0.500 0.000 0.253
Dy 0.500 0.000 0.747
Dy 0.500 0.500 0.253
Dy 0.500 0.500 0.747
Ho 0.000 0.000 0.500
```

***

VASP calculation (PBE) on a relaxed ZrScCo2 crystal. Values from VASP.

Summary:
**Energy of formation from the pure elements**: -0.28 eV per atom
**Space group**: Amm2 (38)

Structure (Quantum ESPRESSO input):
```
&SYSTEM
  ibrav = 0, nat = 4, ntyp = 3
/
ATOMIC_SPECIES
Zr 91.22 Zr.upf
Sc 44.96 Sc.upf
Co 58.93 Co.upf
CELL_PARAMETERS angstrom
3.540 0.000 0.000
0.000 1.868 4.967
0.000 -1.868 4.967
ATOMIC_POSITIONS crystal
Zr 0.000 0.000 0.000
Sc 0.500 0.706 0.706
Co 0.000 0.274 0.274
Co 0.500 0.426 0.426
```

***

VASP calculation (PBE) on a relaxed Sb2TePOs crystal. Values from VASP.

Summary:
**Raw formation energy**: 0.939 eV per atom
**E above lowest polymorph**: 0 meV per atom
**Space group**: P4/mmm (123)

Structure (Quantum ESPRESSO input):
```
&SYSTEM
  ibrav = 0, nat = 5, ntyp = 4
/
ATOMIC_SPECIES
Sb 121.76 Sb.upf
Te 127.60 Te.upf
P 30.97 P.upf
Os 190.23 Os.upf
CELL_PARAMETERS angstrom
5.068 0.000 0.000
0.000 5.068 0.000
0.000 0.000 5.310
ATOMIC_POSITIONS crystal
Sb 0.000 0.500 0.000
Sb 0.500 0.000 0.000
Te 0.000 0.000 0.500
P 0.500 0.500 0.500
Os 0.000 0.000 0.000
```

***

VASP calculation (PBE) on a relaxed TlIr3O crystal. Values from VASP.

Summary:
**Raw formation energy**: 0.910 eV per atom
**E above lowest polymorph**: 0 meV per atom
**Space group**: Pm-3m (221)

Structure (Quantum ESPRESSO input):
```
&SYSTEM
  ibrav = 0, nat = 5, ntyp = 3
/
ATOMIC_SPECIES
Tl 204.38 Tl.upf
Ir 192.22 Ir.upf
O 16.00 O.upf
CELL_PARAMETERS angstrom
4.259 0.000 0.000
0.000 4.259 0.000
0.000 0.000 4.259
ATOMIC_POSITIONS crystal
Tl 0.000 0.000 0.000
Ir 0.000 0.500 0.500
Ir 0.500 0.000 0.500
Ir 0.500 0.500 0.000
O 0.500 0.500 0.500
```

***

VASP calculation (PBE) on a relaxed Nd12Zn6Ru crystal. Values from VASP.

Summary:
**Energy of formation from the pure elements**: -0.10 eV per atom
**Space group**: R-3 (148)

Structure (Quantum ESPRESSO input):
```
&SYSTEM
  ibrav = 0, nat = 19, ntyp = 3
/
ATOMIC_SPECIES
Nd 144.24 Nd.upf
Zn 65.41 Zn.upf
Ru 101.07 Ru.upf
CELL_PARAMETERS angstrom
6.014 3.472 4.456
-6.014 3.472 4.456
0.000 -6.944 4.456
ATOMIC_POSITIONS crystal
Nd 0.032 0.915 0.678
Nd 0.085 0.322 0.968
Nd 0.196 0.429 0.545
Nd 0.322 0.968 0.085
Nd 0.429 0.545 0.196
Nd 0.455 0.804 0.571
Nd 0.545 0.196 0.429
Nd 0.571 0.455 0.804
Nd 0.678 0.032 0.915
Nd 0.804 0.571 0.455
Nd 0.915 0.678 0.032
Nd 0.968 0.085 0.322
Zn 0.147 0.739 0.342
Zn 0.261 0.658 0.853
Zn 0.342 0.147 0.739
Zn 0.658 0.853 0.261
Zn 0.739 0.342 0.147
Zn 0.853 0.261 0.658
Ru 0.000 0.000 0.000
```

***

VASP calculation (PBE) on a relaxed Tb5Er4Tl2 crystal. Values from VASP.

Summary:
**Energy of formation from the pure elements**: 0.26 eV per atom
**Space group**: R-3m (166)

Structure (Quantum ESPRESSO input):
```
&SYSTEM
  ibrav = 0, nat = 11, ntyp = 3
/
ATOMIC_SPECIES
Tb 158.93 Tb.upf
Er 167.26 Er.upf
Tl 204.38 Tl.upf
CELL_PARAMETERS angstrom
2.607 1.505 15.557
-2.607 1.505 15.557
0.000 -3.011 15.557
ATOMIC_POSITIONS crystal
Tb 0.000 0.000 0.000
Tb 0.148 0.148 0.148
Tb 0.301 0.301 0.301
Tb 0.699 0.699 0.699
Tb 0.852 0.852 0.852
Er 0.074 0.074 0.074
Er 0.225 0.225 0.225
Er 0.775 0.775 0.775
Er 0.926 0.926 0.926
Tl 0.383 0.383 0.383
Tl 0.617 0.617 0.617
```

***

VASP calculation (PBE) on a relaxed CuAgHg2F6 crystal. Values from VASP.

Summary:
**Raw formation energy**: -1.246 eV per atom
**Space group**: P1 (1)

Structure (Quantum ESPRESSO input):
```
&SYSTEM
  ibrav = 0, nat = 10, ntyp = 4
/
ATOMIC_SPECIES
Cu 63.55 Cu.upf
Ag 107.87 Ag.upf
Hg 200.59 Hg.upf
F 19.00 F.upf
CELL_PARAMETERS angstrom
5.732 0.000 0.000
2.594 5.287 0.000
2.655 1.659 5.031
ATOMIC_POSITIONS crystal
Cu 0.000 0.000 0.000
Ag 0.537 0.544 0.551
Hg 0.302 0.289 0.291
Hg 0.766 0.771 0.755
F 0.137 0.700 0.377
F 0.169 0.646 0.920
F 0.341 0.104 0.761
F 0.639 0.915 0.171
F 0.764 0.348 0.072
F 0.912 0.168 0.580
```

***

VASP calculation (PBE) on a relaxed TmZnPd4 crystal. Values from VASP.

Summary:
**Energy of formation from the pure elements**: -0.65 eV per atom
**Space group**: C2/m (12)

Structure (Quantum ESPRESSO input):
```
&SYSTEM
  ibrav = 0, nat = 6, ntyp = 3
/
ATOMIC_SPECIES
Tm 168.93 Tm.upf
Zn 65.41 Zn.upf
Pd 106.42 Pd.upf
CELL_PARAMETERS angstrom
4.731 -1.865 0.000
4.731 1.865 0.000
-2.006 0.000 5.642
ATOMIC_POSITIONS crystal
Tm 0.000 0.000 0.000
Zn 0.000 0.000 0.500
Pd 0.336 0.336 0.186
Pd 0.341 0.341 0.657
Pd 0.659 0.659 0.343
Pd 0.664 0.664 0.814
```

***

VASP calculation (PBE) on a relaxed Mg2ZrRu2 crystal. Values from VASP.

Summary:
**Energy of formation from the pure elements**: -0.02 eV per atom
**E above lowest polymorph**: 0 meV per atom
**Space group**: P4/mbm (127)

Structure (Quantum ESPRESSO input):
```
&SYSTEM
  ibrav = 0, nat = 10, ntyp = 3
/
ATOMIC_SPECIES
Mg 24.30 Mg.upf
Zr 91.22 Zr.upf
Ru 101.07 Ru.upf
CELL_PARAMETERS angstrom
7.190 0.000 0.000
0.000 7.190 0.000
0.000 0.000 3.355
ATOMIC_POSITIONS crystal
Mg 0.144 0.356 0.000
Mg 0.356 0.856 0.000
Mg 0.644 0.144 0.000
Mg 0.856 0.644 0.000
Zr 0.000 0.000 0.500
Zr 0.500 0.500 0.500
Ru 0.154 0.654 0.500
Ru 0.346 0.154 0.500
Ru 0.654 0.846 0.500
Ru 0.846 0.346 0.500
```

***

VASP calculation (PBE) on a relaxed FeRu3 crystal. Values from VASP.

Summary:
**Energy of formation from the pure elements**: 0.15 eV per atom
**Space group**: P4/mmm (123)

Structure (Quantum ESPRESSO input):
```
&SYSTEM
  ibrav = 0, nat = 4, ntyp = 2
/
ATOMIC_SPECIES
Fe 55.84 Fe.upf
Ru 101.07 Ru.upf
CELL_PARAMETERS angstrom
2.675 0.000 0.000
0.000 2.675 0.000
0.000 0.000 7.471
ATOMIC_POSITIONS crystal
Fe 0.000 0.000 0.000
Ru 0.000 0.000 0.500
Ru 0.500 0.500 0.242
Ru 0.500 0.500 0.758
```

***

no.,total energy (eV/cell)
1,-21.70
2,-137.02
3,-47.30
4,-14.86
5,-76.73
6,-73.31
7,-85.65
8,-12.71
9,-57.08
10,-18.87
11,-57.22
12,-30.23
13,-23.33
14,-29.36
15,-75.96
16,-43.28
17,-31.23
18,-30.44
19,-60.77
20,-35.70